[1]
First-principles (SCAN) data for a crystal of Hf3TlNi relaxed with PBEsol, as listed in the Alexandria database.

```
data_Hf3TlNi
_chemical_formula_sum 'Hf3 Tl1 Ni1'
_symmetry_space_group_name_H-M 'P 1'
_symmetry_Int_Tables_number 1
_cell_length_a 5.1512
_cell_length_b 5.1512
_cell_length_c 5.1512
_cell_angle_alpha 90.00
_cell_angle_beta 90.00
_cell_angle_gamma 90.00
loop_
_symmetry_equiv_pos_as_xyz
'x,y,z'
loop_
_atom_site_label
_atom_site_type_symbol
_atom_site_fract_x
_atom_site_fract_y
_atom_site_fract_z
_atom_site_occupancy
Hf1 Hf 0.0000 0.0000 0.5000 1
Hf2 Hf 0.0000 0.5000 0.0000 1
Hf3 Hf 0.5000 0.0000 0.0000 1
Tl1 Tl 0.0000 0.0000 0.0000 1
Ni1 Ni 0.5000 0.5000 0.5000 1
```

Output
- DFT total energy: -53.643 eV per atom

***

[2]
First-principles (SCAN) data for a crystal of HfTl3Ni relaxed with PBEsol, as listed in the Alexandria database.

```
data_HfTl3Ni
_chemical_formula_sum 'Hf1 Tl3 Ni1'
_symmetry_space_group_name_H-M 'P 1'
_symmetry_Int_Tables_number 1
_cell_length_a 5.4662
_cell_length_b 5.4662
_cell_length_c 5.4662
_cell_angle_alpha 90.00
_cell_angle_beta 90.00
_cell_angle_gamma 90.00
loop_
_symmetry_equiv_pos_as_xyz
'x,y,z'
loop_
_atom_site_label
_atom_site_type_symbol
_atom_site_fract_x
_atom_site_fract_y
_atom_site_fract_z
_atom_site_occupancy
Hf1 Hf 0.0000 0.0000 0.0000 1
Tl1 Tl 0.0000 0.0000 0.5000 1
Tl2 Tl 0.0000 0.5000 0.0000 1
Tl3 Tl 0.5000 0.0000 0.0000 1
Ni1 Ni 0.5000 0.5000 0.5000 1
```

Output
- DFT total energy: -58.011 eV per atom

***

- The highest DFT total energy belongs to which entry?
  Hf3TlNi

***

- Which value of DFT total energy does entry 1 give?
  -53.643 eV per atom

***

- Which formula does entry 2 have?
  HfTl3Ni

***

- Look up the DFT total energy of the first one.
  -53.643 eV per atom